Entry 1:
Material: RbTbPbO3
Method: DFT, PBE
State: relaxed

Properties
The calculation puts the energy relative to the elements, uncorrected at -2.17 eV per atom. The density of states at the Fermi level comes out at 0.00 states/eV/f.u. The value obtained for the final energy is -74.37 eV/cell.

Cell lengths 7.148, 3.553, 9.862 Å; angles 90.00, 93.84, 90.00 degrees
Positions (direct):
Rb (0.115, 0.250, 0.183)
Rb (0.885, 0.750, 0.817)
Tb (0.410, 0.250, 0.861)
Tb (0.590, 0.750, 0.139)
Pb (0.267, 0.750, 0.572)
Pb (0.733, 0.250, 0.428)
O (0.155, 0.250, 0.694)
O (0.324, 0.750, 0.995)
O (0.497, 0.250, 0.272)
O (0.503, 0.750, 0.728)
O (0.676, 0.250, 0.005)
O (0.845, 0.750, 0.306)


Entry 2:
Material: BaTa2Ir
Method: DFT, PBE
State: relaxed

Properties
The value obtained for the excess energy over the best structure of this formula in the dataset is 0.219 eV per atom. The density of states at the Fermi level comes out at 3.69 states/eV/f.u. The value obtained for the final energy is -32.74 eV/cell.

Cell lengths 5.745, 5.745, 5.809 Å; angles 104.04, 104.04, 31.23 degrees
Positions (direct):
Ba (0.000, 0.000, 0.000)
Ta (0.201, 0.201, 0.649)
Ta (0.799, 0.799, 0.351)
Ir (0.500, 0.500, 0.500)


Entry 3:
Material: SrLi6Sn6
Method: DFT, PBE
State: relaxed

Properties
The density of states at the Fermi level comes out at 6.06 states/eV/f.u. The value obtained for the final energy is -41.97 eV/cell.

Cell lengths 7.545, 7.545, 7.545 Å; angles 133.68, 100.41, 97.39 degrees
Positions (direct):
Sr (0.000, 0.000, 0.000)
Li (0.000, 0.000, 0.500)
Li (0.000, 0.500, 0.000)
Li (0.246, 0.500, 0.746)
Li (0.500, 0.000, 0.000)
Li (0.500, 0.500, 0.500)
Li (0.754, 0.500, 0.254)
Sn (0.181, 0.681, 0.500)
Sn (0.344, 0.344, 0.000)
Sn (0.351, 0.000, 0.351)
Sn (0.649, 0.000, 0.649)
Sn (0.656, 0.656, 0.000)
Sn (0.819, 0.319, 0.500)


Entry 4:
Material: Cd2Pd2Au5
Method: DFT, PBE
State: relaxed

Properties
The value obtained for the excess energy over the best structure of this formula in the dataset is 0.062 eV per atom. The density of states at the Fermi level comes out at 2.16 states/eV/f.u. The value obtained for the final energy is -29.70 eV/cell.

Cell lengths 8.526, 4.706, 4.706 Å; angles 60.11, 90.00, 90.00 degrees
Positions (direct):
Cd (0.000, 0.000, 0.000)
Cd (0.500, 0.334, 0.334)
Pd (0.329, 0.667, 0.667)
Pd (0.671, 0.667, 0.667)
Au (0.000, 0.666, 0.666)
Au (0.171, 0.334, 0.334)
Au (0.333, 0.001, 0.001)
Au (0.667, 0.001, 0.001)
Au (0.829, 0.334, 0.334)


Entry 5:
Material: ErTm3Ru2
Method: DFT, PBE
State: relaxed

Properties
The value obtained for the excess energy over the best structure of this formula in the dataset is 0.125 eV per atom. The density of states at the Fermi level comes out at 2.30 states/eV/f.u. The value obtained for the final energy is -76.42 eV/cell.

Cell lengths 8.217, 8.217, 8.217 Å; angles 132.39, 71.35, 130.22 degrees
Positions (direct):
Er (0.000, 0.000, 0.000)
Er (0.500, 0.500, 0.000)
Tm (0.015, 0.250, 0.765)
Tm (0.250, 0.750, 0.500)
Tm (0.485, 0.250, 0.235)
Tm (0.515, 0.750, 0.765)
Tm (0.750, 0.250, 0.500)
Tm (0.985, 0.750, 0.235)
Ru (0.135, 0.720, 0.855)
Ru (0.365, 0.220, 0.585)
Ru (0.635, 0.780, 0.415)
Ru (0.865, 0.280, 0.145)


Entry 6:
Material: BaSr2
Method: DFT, PBE
State: relaxed

Properties
The value obtained for the excess energy over the best structure of this formula in the dataset is 0.009 eV per atom. The density of states at the Fermi level comes out at 3.92 states/eV/f.u. The value obtained for the final energy is -10.50 eV/cell.

Cell lengths 8.339, 8.339, 10.345 Å; angles 105.04, 105.04, 29.79 degrees
Positions (direct):
Ba (0.000, 0.000, 0.000)
Ba (0.669, 0.669, 0.339)
Sr (0.057, 0.057, 0.619)
Sr (0.334, 0.334, 0.670)
Sr (0.392, 0.392, 0.286)
Sr (0.727, 0.727, 0.949)


Entry 7:
Material: RbInSn2Ru
Method: DFT, PBE
State: relaxed

Properties
The density of states at the Fermi level comes out at 4.88 states/eV/f.u. The value obtained for the final energy is -20.94 eV/cell.

Cell lengths 5.236, 5.236, 5.257 Å; angles 90.00, 90.00, 90.00 degrees
Positions (direct):
Rb (0.000, 0.000, 0.000)
In (0.500, 0.500, 0.000)
Sn (0.000, 0.500, 0.500)
Sn (0.500, 0.000, 0.500)
Ru (0.500, 0.500, 0.500)


Entry 8:
Material: FeRhW2
Method: DFT, PBE
State: relaxed

Properties
The value obtained for the excess energy over the best structure of this formula in the dataset is 0.727 eV per atom. The density of states at the Fermi level comes out at 4.82 states/eV/f.u. The value obtained for the final energy is -77.76 eV/cell.

Cell lengths 9.296, 9.296, 9.296 Å; angles 156.52, 156.52, 33.45 degrees
Positions (direct):
Fe (0.000, 0.000, 0.000)
Fe (0.750, 0.250, 0.500)
Rh (0.250, 0.750, 0.500)
Rh (0.500, 0.500, 0.000)
W (0.110, 0.625, 0.985)
W (0.375, 0.360, 0.485)
W (0.640, 0.125, 0.015)
W (0.875, 0.890, 0.515)